[1]
Here is an optimized crystal structure of Pm12Er6Th from Alexandria. Energies are from PBE.

Cell: 8.630 8.630 8.630 Å, 89.01 89.01 89.01°
Element x y z (fractional)
Pm  0.782  0.535  0.437
Pm  0.437  0.782  0.535
Pm  0.016  0.196  0.358
Pm  0.535  0.437  0.782
Pm  0.358  0.016  0.196
Pm  0.804  0.642  0.984
Pm  0.642  0.984  0.804
Pm  0.218  0.465  0.563
Pm  0.563  0.218  0.465
Pm  0.984  0.804  0.642
Pm  0.465  0.563  0.218
Pm  0.196  0.358  0.016
Er  0.702  0.255  0.099
Er  0.901  0.298  0.745
Er  0.255  0.099  0.702
Er  0.099  0.702  0.255
Er  0.745  0.901  0.298
Er  0.298  0.745  0.901
Th  0.000  0.000  0.000

Output
**Crystal system**: trigonal
**Final energy**: -4.7031 eV/atom
**Magnetization**: 0.00 μB/f.u.
**Formation energy**: 0.129 eV per atom
**Symmetry**: R-3 (148)
**D(E_F)**: 1.6122 states/eV/atom



[2]
Here is an optimized crystal structure of PmEr6Th from Alexandria. Energies are from PBE.

Cell: 4.998 4.998 9.993 Å, 90.00 90.00 90.00°
Element x y z (fractional)
Th  0.000  0.000  0.500
Er  0.500  0.500  0.500
Er  0.000  0.500  0.747
Er  0.000  0.500  0.253
Er  0.500  0.500  0.000
Er  0.500  0.000  0.253
Er  0.500  0.000  0.747
Pm  0.000  0.000  0.000

Output
**Crystal system**: tetragonal
**Final energy**: -4.9154 eV/atom
**Magnetization**: 0.00 μB/f.u.
**Formation energy**: 0.028 eV per atom
**Symmetry**: P4/mmm (123)
**D(E_F)**: 1.4713 states/eV/atom



[3]
Here is an optimized crystal structure of Pm6ErTh from Alexandria. Energies are from PBE.

Cell: 5.121 5.121 10.238 Å, 90.00 90.00 90.00°
Element x y z (fractional)
Pm  0.500  0.500  0.000
Pm  0.500  0.500  0.500
Pm  0.000  0.500  0.252
Pm  0.500  0.000  0.748
Pm  0.500  0.000  0.252
Pm  0.000  0.500  0.748
Th  0.000  0.000  0.500
Er  0.000  0.000  0.000

Output
**Crystal system**: tetragonal
**Final energy**: -5.0213 eV/atom
**Magnetization**: 0.00 μB/f.u.
**Formation energy**: 0.040 eV per atom
**Symmetry**: P4/mmm (123)
**D(E_F)**: 1.5271 states/eV/atom



[4]
Here is an optimized crystal structure of PmEr3Th from Alexandria. Energies are from PBE.

Cell: 6.237 5.703 9.552 Å, 90.00 70.96 90.00°
Element x y z (fractional)
Er  0.263  0.250  0.303
Er  0.737  0.750  0.697
Er  0.471  0.250  0.898
Er  0.936  0.750  0.305
Er  0.064  0.250  0.695
Er  0.529  0.750  0.102
Pm  0.135  0.750  0.895
Pm  0.865  0.250  0.105
Th  0.653  0.250  0.501
Th  0.347  0.750  0.499

Output
**Crystal system**: monoclinic
**Final energy**: -5.1347 eV/atom
**Magnetization**: 0.00 μB/f.u.
**Formation energy**: 0.037 eV per atom
**Symmetry**: P2_1/m (11)
**D(E_F)**: 1.7256 states/eV/atom



[5]
Here is an optimized crystal structure of PmEr4Th from Alexandria. Energies are from PBE.

Cell: 6.581 9.023 8.469 Å, 112.20 100.15 113.49°
Element x y z (fractional)
Th  0.751  0.001  0.003
Th  0.249  0.999  0.997
Er  0.958  0.835  0.262
Er  0.803  0.427  0.262
Er  0.632  0.100  0.385
Er  0.747  0.715  0.615
Er  0.368  0.900  0.615
Er  0.042  0.165  0.738
Er  0.253  0.285  0.385
Er  0.197  0.573  0.738
Pm  0.663  0.413  0.826
Pm  0.337  0.587  0.174

Output
**Crystal system**: monoclinic
**Final energy**: -4.9132 eV/atom
**Magnetization**: 0.00 μB/f.u.
**Formation energy**: 0.157 eV per atom
**Symmetry**: C2/c (15)
**D(E_F)**: 1.6657 states/eV/atom



[6]
Here is an optimized crystal structure of Pm2ErTh from Alexandria. Energies are from PBE.

Cell: 3.618 3.618 11.810 Å, 81.19 81.19 60.00°
Element x y z (fractional)
Pm  0.083  0.083  0.752
Pm  0.251  0.251  0.248
Er  0.500  0.500  0.499
Th  0.667  0.667  0.000

Output
**Crystal system**: trigonal
**Final energy**: -5.3460 eV/atom
**Magnetization**: 0.02 μB/f.u.
**Formation energy**: 0.025 eV per atom
**Symmetry**: R3m (160)
**D(E_F)**: 1.5985 states/eV/atom



[7]
Here is an optimized crystal structure of Pm4Er5Th2 from Alexandria. Energies are from PBE.

Cell: 3.488 11.559 10.977 Å, 121.77 99.14 90.00°
Element x y z (fractional)
Er  0.181  0.472  0.361
Er  0.181  0.889  0.361
Er  0.819  0.528  0.639
Er  0.819  0.111  0.639
Er  0.500  0.000  0.000
Pm  0.409  0.409  0.817
Pm  0.591  0.591  0.183
Pm  0.000  0.266  0.000
Pm  0.000  0.734  0.000
Th  0.798  0.798  0.596
Th  0.202  0.202  0.404

Output
**Crystal system**: orthorhombic
**Final energy**: -4.8872 eV/atom
**Magnetization**: 0.00 μB/f.u.
**Formation energy**: 0.263 eV per atom
**Symmetry**: Immm (71)
**D(E_F)**: 1.2796 states/eV/atom



[8]
Here is an optimized crystal structure of PmEr4Th2 from Alexandria. Energies are from PBE.

Cell: 3.474 8.498 8.924 Å, 120.26 82.19 98.78°
Element x y z (fractional)
Er  0.044  0.834  0.285
Er  0.355  0.722  0.575
Er  0.645  0.278  0.425
Er  0.956  0.166  0.715
Pm  0.000  0.000  0.000
Th  0.410  0.417  0.134
Th  0.590  0.583  0.866

Output
**Crystal system**: triclinic
**Final energy**: -5.2850 eV/atom
**Magnetization**: 0.00 μB/f.u.
**Formation energy**: 0.121 eV per atom
**Symmetry**: P-1 (2)
**D(E_F)**: 1.6882 states/eV/atom



[9]
Here is an optimized crystal structure of Pm8Er3Th from Alexandria. Energies are from PBE.

Cell: 8.743 8.743 8.743 Å, 97.46 98.82 135.79°
Element x y z (fractional)
Pm  0.164  0.250  0.415
Pm  0.501  0.762  0.739
Pm  0.023  0.762  0.261
Pm  0.836  0.750  0.585
Pm  0.836  0.250  0.086
Pm  0.499  0.238  0.261
Pm  0.164  0.750  0.914
Pm  0.977  0.238  0.739
Er  0.500  0.254  0.754
Er  0.500  0.746  0.246
Er  0.000  0.500  0.500
Th  0.000  0.000  0.000

Output
**Crystal system**: orthorhombic
**Final energy**: -4.5593 eV/atom
**Magnetization**: 0.00 μB/f.u.
**Formation energy**: 0.367 eV per atom
**Symmetry**: Immm (71)
**D(E_F)**: 1.5160 states/eV/atom



[10]
Here is an optimized crystal structure of Pm4Er6Th from Alexandria. Energies are from PBE.

Cell: 5.732 5.614 25.745 Å, 90.00 90.00 120.70°
Element x y z (fractional)
Pm  0.841  0.682  0.543
Pm  0.526  0.051  0.877
Pm  0.474  0.949  0.123
Pm  0.159  0.318  0.457
Pm  0.526  0.051  0.623
Pm  0.841  0.682  0.957
Pm  0.159  0.318  0.043
Pm  0.474  0.949  0.377
Er  0.144  0.289  0.316
Er  0.856  0.711  0.816
Er  0.185  0.371  0.897
Er  0.815  0.629  0.103
Er  0.815  0.629  0.397
Er  0.185  0.371  0.603
Er  0.500  0.000  0.000
Er  0.500  0.000  0.500
Er  0.144  0.289  0.184
Er  0.477  0.954  0.250
Er  0.856  0.711  0.684
Er  0.523  0.046  0.750
Th  0.813  0.626  0.250
Th  0.187  0.374  0.750

Output
**Crystal system**: orthorhombic
**Final energy**: -4.7615 eV/atom
**Magnetization**: 0.00 μB/f.u.
**Formation energy**: 0.129 eV per atom
**Symmetry**: Cmcm (63)
**D(E_F)**: 1.6863 states/eV/atom



[11]
Here is an optimized crystal structure of Pm3Er5Th2 from Alexandria. Energies are from PBE.

Cell: 8.986 8.972 11.149 Å, 121.17 121.20 73.40°
Element x y z (fractional)
Th  0.759  0.010  0.742
Th  0.241  0.990  0.258
Th  0.483  0.732  0.742
Th  0.517  0.268  0.258
Er  0.864  0.611  0.726
Er  0.970  0.220  0.439
Er  0.722  0.472  0.944
Er  0.030  0.780  0.561
Er  0.533  0.283  0.566
Er  0.362  0.116  0.726
Er  0.278  0.528  0.056
Er  0.467  0.717  0.434
Er  0.638  0.884  0.274
Er  0.136  0.389  0.274
Pm  0.777  0.027  0.054
Pm  0.977  0.228  0.745
Pm  0.731  0.483  0.255
Pm  0.269  0.517  0.745
Pm  0.023  0.772  0.255
Pm  0.223  0.973  0.946

Output
**Crystal system**: monoclinic
**Final energy**: -4.9772 eV/atom
**Magnetization**: 0.00 μB/f.u.
**Formation energy**: 0.213 eV per atom
**Symmetry**: C2/c (15)
**D(E_F)**: 1.4024 states/eV/atom



[12]
Here is an optimized crystal structure of PmEr6Th3 from Alexandria. Energies are from PBE.

Cell: 5.607 11.434 14.488 Å, 135.24 90.00 90.00°
Element x y z (fractional)
Er  0.250  0.717  0.185
Er  0.250  0.542  0.848
Er  0.750  0.702  0.782
Er  0.250  0.977  0.166
Er  0.750  0.283  0.815
Er  0.750  0.458  0.152
Er  0.750  0.023  0.834
Er  0.750  0.122  0.352
Er  0.250  0.298  0.218
Er  0.750  0.550  0.450
Er  0.250  0.450  0.550
Er  0.250  0.878  0.648
Th  0.750  0.082  0.101
Th  0.750  0.891  0.457
Th  0.250  0.918  0.899
Th  0.250  0.109  0.543
Th  0.250  0.657  0.359
Th  0.750  0.343  0.641
Pm  0.250  0.279  0.949
Pm  0.750  0.721  0.051

Output
**Crystal system**: monoclinic
**Final energy**: -5.2561 eV/atom
**Magnetization**: 0.00 μB/f.u.
**Formation energy**: 0.183 eV per atom
**Symmetry**: P2_1/m (11)
**D(E_F)**: 1.2212 states/eV/atom